1.
6
Lattice="-5.136 -0.637 1.514 -3.921 -0.002 -3.701 -2.606 -4.574 -1.165" Properties=species:S:1:pos:R:3 comment="ScPt4Pb, optimized geometry, DFT PBE-GGA" e_tot_ev_per_atom=-6.2630 delta_e_f_ev_per_atom=-0.5625 m_tot_mub_per_cell=0.00 mass_density_g_cm3=15.47 sg=F-43m pbc="T T T"
Pt -6.333 -1.958 -3.103
Pt -5.677 -4.237 -1.839
Pt -6.938 -2.275 -0.504
Pt -4.378 -1.957 -1.258
Pb 0.000 0.000 0.000
Sc -8.747 -3.910 -2.514

2.
4
Lattice="-1.241 -2.253 -3.896 -1.066 -4.542 0.161 -8.530 -0.393 0.147" Properties=species:S:1:pos:R:3 comment="Ba2SiCl, optimized geometry, DFT PBE-GGA" e_tot_ev_per_atom=-3.8118 m_tot_mub_per_cell=0.79 mass_density_g_cm3=3.68 e_form_raw_ev_per_atom=-1.033 relative_energy_mev_per_atom=36.6 sg=C2/m pbc="T T T"
Ba -8.436 -0.414 0.131
Ba -5.513 -3.573 -1.778
Si -8.128 -5.391 -2.692
Cl -2.709 -1.797 -0.897

3.
5
Lattice="-3.135 3.630 -1.007 -0.303 -1.548 -4.640 -4.070 -3.150 1.317" Properties=species:S:1:pos:R:3 comment="HgIrSe2Br, optimized geometry, DFT PBE-GGA" e_tot_ev_per_atom=-3.2323 m_tot_mub_per_cell=0.00 mass_density_g_cm3=8.21 e_form_raw_ev_per_atom=0.329 relative_energy_mev_per_atom=0.0 sg=P4/mmm pbc="T T T"
Br -2.035 -1.575 0.658
Se -1.568 1.815 -0.503
Se -0.151 -0.774 -2.320
Hg -3.754 -0.534 -2.165
Ir 0.000 0.000 0.000

4.
3
Lattice="3.571 0.000 0.000 0.000 5.799 0.000 0.000 -2.899 5.022" Properties=species:S:1:pos:R:3 comment="LaPmTh, optimized geometry, DFT PBE-GGA" e_tot_ev_per_atom=-5.5726 delta_e_f_ev_per_atom=0.1267 m_tot_mub_per_cell=0.00 mass_density_g_cm3=8.24 relative_energy_mev_per_atom=105.5 sg=P-6m2 pbc="T T T"
La 2.381 2.899 1.674
Pm 0.592 0.000 0.000
Th 0.598 0.000 3.348

5.
11
Lattice="5.515 -0.224 -0.336 -1.250 8.528 -0.613 -1.250 -3.850 7.634" Properties=species:S:1:pos:R:3 comment="TbDy8Hg2, optimized geometry, DFT PBE-GGA" e_tot_ev_per_atom=-3.8714 delta_e_f_ev_per_atom=-0.0486 m_tot_mub_per_cell=0.00 mass_density_g_cm3=9.12 sg=C2/m pbc="T T T"
Hg -1.250 4.739 1.912
Hg -1.250 -0.061 5.109
Dy 0.073 -0.473 2.357
Dy 2.869 1.705 2.559
Dy 2.941 4.927 4.328
Dy 1.507 5.638 1.070
Dy 0.073 2.357 0.471
Dy 0.146 2.749 4.125
Dy 1.507 -1.184 5.615
Dy 2.941 2.097 6.214
Tb 2.758 -0.112 -0.168